{"formula": "CsRu3C", "functional": "PBE-GGA", "state": "relaxed", "volume_a3_per_atom": 24.335, "dos_at_fermi_per_ev_atom": 1.62, "polymorph_energy_kcal_per_mol_atoms": 65.47, "cell": [[4.955, 0.000, 0.000], [0.000, 4.955, 0.000], [0.000, 0.000, 4.955]], "species": ["Cs", "Ru", "Ru", "Ru", "C"], "fractional_positions": [[0.000, 0.000, 0.000], [0.000, 0.000, 0.500], [0.000, 0.500, 0.000], [0.500, 0.000, 0.000], [0.500, 0.500, 0.500]]}